A geometry-optimized ZnPbCl2 structure. Source: the Alexandria database, functional PBE.

Lattice parameters (Å, degrees): 6.8988 6.8988 7.0636 60.77 60.77 90.00
Closest atoms and distances in Å follow each position.
Fractional coordinates of all 8 atoms:
Cl (0.2341, 0.6250, 0.2500)  2 Zn 2.36
Cl (0.5159, 0.1250, 0.2500)  2 Zn 2.36
Cl (0.8750, 0.7659, 0.7500)  2 Zn 2.36
Cl (0.3750, 0.4841, 0.7500)  2 Zn 2.36
Pb (0.7500, 0.2500, 0.5000)  4 Cl 3.28
Pb (0.0000, 0.0000, 0.0000)  4 Cl 3.28
Zn (0.5000, 0.5000, 0.0000)  4 Cl 2.36
Zn (0.2500, 0.7500, 0.5000)  4 Cl 2.36

Formation energy from raw total energies ... -0.31 eV per atom
Space group ... I-42d, No. 122
E above lowest polymorph ... 361 meV per atom
ρ ... 4.69 Mg/m³
Total magnetization ... 0.0 μB per formula unit


A geometry-optimized BaCaFe2 structure. Source: the Alexandria database, functional PBE.

Lattice parameters (Å, degrees): 5.6076 5.6076 7.3822 56.12 56.12 41.63
Closest atoms and distances in Å follow each position.
Fractional coordinates of all 4 atoms:
Fe (0.4955, 0.4955, 0.6746)  2 Fe 2.31
Fe (0.0045, 0.0045, 0.8254)  2 Fe 2.31
Ca (0.7500, 0.7500, 0.7500)  6 Fe 3.03
Ba (0.2500, 0.2500, 0.2500)  6 Fe 3.31-3.41

Space group ... C2/m, No. 12
E above lowest polymorph ... 71 meV per atom
ρ ... 3.88 Mg/m³
Energy relative to the elements ... 515 meV/atom
Total magnetization ... 4.4 μB per formula unit


A geometry-optimized Mg2HgO structure. Source: the Alexandria database, functional PBE.

Lattice parameters (Å, degrees): 6.0684 6.0684 5.8619 58.83 58.83 90.00
Closest atoms and distances in Å follow each position.
Fractional coordinates of all 8 atoms:
O (0.5000, 0.5000, 0.0000)  4 Mg 1.98
O (0.2500, 0.7500, 0.5000)  4 Mg 1.98
Mg (0.2456, 0.6250, 0.2500)  2 O 1.98
Mg (0.8750, 0.7544, 0.7500)  2 O 1.98
Mg (0.5044, 0.1250, 0.2500)  2 O 1.98
Mg (0.3750, 0.4956, 0.7500)  2 O 1.98
Hg (0.7500, 0.2500, 0.5000)  4 Mg 2.89
Hg (0.0000, 0.0000, 0.0000)  4 Mg 2.89

Formation energy from raw total energies ... -1.24 eV per atom
Space group ... I-42d, No. 122
E above lowest polymorph ... 7 meV per atom
ρ ... 5.99 Mg/m³
Total magnetization ... 0.0 μB per formula unit